Entry 1:
Below is a relaxed structure of LiLaTiBe2, with properties calculated at the PBE-GGA level.

Geometry as CIF:
```
data_LiLaTiBe2
_cell_length_a 4.3728
_cell_length_b 4.3728
_cell_length_c 4.6397
_cell_angle_alpha 90.00
_cell_angle_beta 90.00
_cell_angle_gamma 90.00
_space_group_name_H-M_alt 'P 4/m m m'
_space_group_IT_number 123
_space_group_name_Hall '-P 4 2'
loop_
_atom_site_label
_atom_site_type_symbol
_atom_site_fract_x
_atom_site_fract_y
_atom_site_fract_z
Li1 Li 0.0000 0.0000 0.0000
La1 La 0.5000 0.5000 0.5000
Ti1 Ti 0.0000 0.0000 0.5000
Be1 Be 0.0000 0.5000 0.0000
```

=====

Entry 2:
Below is a relaxed structure of LiLaBe2Zn, with properties calculated at the PBE-GGA level.

Geometry as CIF:
```
data_LiLaBe2Zn
_cell_length_a 5.3097
_cell_length_b 5.3097
_cell_length_c 5.7433
_cell_angle_alpha 90.00
_cell_angle_beta 90.00
_cell_angle_gamma 90.00
_space_group_name_H-M_alt 'P 4/m m m'
_space_group_IT_number 123
_space_group_name_Hall '-P 4 2'
loop_
_atom_site_label
_atom_site_type_symbol
_atom_site_fract_x
_atom_site_fract_y
_atom_site_fract_z
Li1 Li 0.0000 0.0000 0.0000
La1 La 0.5000 0.5000 0.5000
Be1 Be 0.0000 0.5000 0.5000
Zn1 Zn 0.5000 0.5000 0.0000
```

=====

| no. | energy of formation (kJ per mole of atoms) | magnetic moment (μB per formula unit) |
| --- | --- | --- |
| 1 | 57.40 | 1.79 |
| 2 | 132.04 | 0.00 |